Record 1
Material: BeV3Ga
Method: DFT, PBE
State: relaxed

Results
ΔE to the lowest computed polymorph   0 meV per atom
Formation energy   0.145 eV/atom
DOS(E_F)   8.1 states/eV per cell

a = 4.7085 Å, b = 5.6744 Å, c = 5.6744 Å
α = 120.00°, β = 90.00°, γ = 90.00°
Closest atoms and distances in Å follow each position.
Fractional coordinates of all 10 atoms:
Ga 0.7500 0.6665 0.3335  12 V 2.76-2.85
Ga 0.2500 0.3335 0.6665  12 V 2.76-2.85
V 0.2500 0.3745 0.1874  2 Be 2.18
V 0.7500 0.1873 0.8127  2 Be 2.19
V 0.7500 0.6255 0.8126  2 Be 2.18
V 0.7500 0.1874 0.3745  2 Be 2.18
V 0.2500 0.8127 0.1873  2 Be 2.19
V 0.2500 0.8126 0.6255  2 Be 2.18
Be 0.0000 0.0000 0.0000  6 V 2.18-2.19, 2 Be 2.35
Be 0.5000 0.0000 0.0000  6 V 2.18-2.19, 2 Be 2.35

=====

Record 2
Material: BeV3Ga
Method: DFT, PBE
State: relaxed

Results
ΔE to the lowest computed polymorph   251 meV per atom
Formation energy   0.395 eV/atom
DOS(E_F)   3.0 states/eV per cell

a = 4.1017 Å, b = 4.1017 Å, c = 4.1017 Å
α = 90.00°, β = 90.00°, γ = 90.00°
Closest atoms and distances in Å follow each position.
Fractional coordinates of all 5 atoms:
Be 0.0000 0.0000 0.0000  6 V 2.05
V 0.0000 0.0000 0.5000  2 Be 2.05
V 0.5000 0.0000 0.0000  2 Be 2.05
V 0.0000 0.5000 0.0000  2 Be 2.05
Ga 0.5000 0.5000 0.5000  12 V 2.90

=====

Record 3
Material: Be3VGa
Method: DFT, PBE
State: relaxed

Results
ΔE to the lowest computed polymorph   427 meV per atom
Formation energy   1.408 eV/atom
DOS(E_F)   3.9 states/eV per cell

a = 4.2572 Å, b = 4.2572 Å, c = 4.2572 Å
α = 90.00°, β = 90.00°, γ = 90.00°
Closest atoms and distances in Å follow each position.
Fractional coordinates of all 5 atoms:
Be 0.0000 0.0000 0.5000  2 V 2.13
Be 0.5000 0.0000 0.0000  2 V 2.13
Be 0.0000 0.5000 0.0000  2 V 2.13
V 0.0000 0.0000 0.0000  6 Be 2.13
Ga 0.5000 0.5000 0.5000  12 Be 3.01

=====

Record 4
Material: Be2V12Ga5
Method: DFT, PBE
State: relaxed

Results
Formation energy   0.121 eV/atom
DOS(E_F)   19.1 states/eV per cell

a = 6.7813 Å, b = 7.1117 Å, c = 6.3471 Å
α = 78.99°, β = 90.00°, γ = 118.47°
Closest atoms and distances in Å follow each position.
Fractional coordinates of all 19 atoms:
Ga 0.0000 0.0000 0.5000  10 V 2.50-2.78
Ga 0.6595 0.3191 0.9061  2 Be 2.32, 2 V 2.58
Ga 0.3405 0.6809 0.0939  2 Be 2.32, 2 V 2.58
Ga 0.2635 0.5269 0.7410  8 V 2.52-2.66, 1 Ga 2.62
Ga 0.7365 0.4731 0.2590  8 V 2.52-2.66, 1 Ga 2.62
V 0.0576 0.1151 0.8531  1 V 2.09
V 0.9424 0.8849 0.1469  1 V 2.09
V 0.4796 0.9592 0.6848  1 V 2.29, 2 Be 2.42
V 0.9699 0.2893 0.1559  1 V 2.37, 1 Be 2.44, 1 Ga 2.63
V 0.5204 0.0408 0.3152  1 V 2.29, 2 Be 2.42
V 0.5802 0.7046 0.4126  4 V 2.57-2.83, 4 Ga 2.58-2.75, 1 Be 2.87
V 0.8756 0.2954 0.5874  4 V 2.57-2.83, 4 Ga 2.58-2.75, 1 Be 2.87
V 0.3194 0.2893 0.1559  1 V 2.37, 1 Be 2.44, 1 Ga 2.63
V 0.1244 0.7046 0.4126  4 V 2.57-2.83, 4 Ga 2.58-2.75, 1 Be 2.87
V 0.0301 0.7107 0.8441  1 V 2.37, 1 Be 2.44, 1 Ga 2.63
V 0.4198 0.2954 0.5874  4 V 2.57-2.83, 4 Ga 2.58-2.75, 1 Be 2.87
V 0.6806 0.7107 0.8441  1 V 2.37, 1 Be 2.44, 1 Ga 2.63
Be 0.6842 0.0000 0.0000  2 Ga 2.32, 6 V 2.38-2.44, 1 Be 2.50
Be 0.3158 0.0000 0.0000  2 Ga 2.32, 6 V 2.38-2.44, 1 Be 2.50

=====

Record 5
Material: Be3VGa
Method: DFT, PBE
State: relaxed

Results
ΔE to the lowest computed polymorph   0 meV per atom
Formation energy   0.981 eV/atom
DOS(E_F)   5.2 states/eV per cell

a = 4.0853 Å, b = 4.0853 Å, c = 4.0853 Å
α = 90.00°, β = 90.00°, γ = 90.00°
Closest atoms and distances in Å follow each position.
Fractional coordinates of all 5 atoms:
V 0.5000 0.5000 0.5000  12 Be 2.89
Be 0.0000 0.5000 0.0000  2 Ga 2.04
Be 0.0000 0.0000 0.5000  2 Ga 2.04
Be 0.5000 0.0000 0.0000  2 Ga 2.04
Ga 0.0000 0.0000 0.0000  6 Be 2.04

=====

Record 6
Material: BeV12Ga6
Method: DFT, PBE
State: relaxed

Results
Formation energy   -0.077 eV/atom
DOS(E_F)   20.7 states/eV per cell

a = 6.3871 Å, b = 6.3871 Å, c = 6.3871 Å
α = 89.73°, β = 89.73°, γ = 89.73°
Closest atoms and distances in Å follow each position.
Fractional coordinates of all 19 atoms:
V 0.5665 0.1941 0.4841  4 Ga 2.58-2.71, 4 V 2.59-2.63
V 0.9345 0.8532 0.6240  4 V 2.51-2.62, 1 Be 2.62, 4 Ga 2.66-2.72
V 0.1468 0.3760 0.0655  4 V 2.51-2.62, 1 Be 2.62, 4 Ga 2.66-2.72
V 0.4335 0.8059 0.5159  4 Ga 2.58-2.71, 4 V 2.59-2.63
V 0.4841 0.5665 0.1941  4 Ga 2.58-2.71, 4 V 2.59-2.63
V 0.5159 0.4335 0.8059  4 Ga 2.58-2.71, 4 V 2.59-2.63
V 0.8532 0.6240 0.9345  4 V 2.51-2.62, 1 Be 2.62, 4 Ga 2.66-2.72
V 0.1941 0.4841 0.5665  4 Ga 2.58-2.71, 4 V 2.59-2.63
V 0.0655 0.1468 0.3760  4 V 2.51-2.62, 1 Be 2.62, 4 Ga 2.66-2.72
V 0.8059 0.5159 0.4335  4 Ga 2.58-2.71, 4 V 2.59-2.63
V 0.3760 0.0655 0.1468  4 V 2.51-2.62, 1 Be 2.62, 4 Ga 2.66-2.72
V 0.6240 0.9345 0.8532  4 V 2.51-2.62, 1 Be 2.62, 4 Ga 2.66-2.72
Be 0.0000 0.0000 0.0000  6 Ga 2.47, 6 V 2.62
Ga 0.7333 0.8796 0.2532  1 Be 2.47, 8 V 2.58-2.72, 2 Ga 2.61
Ga 0.7468 0.2667 0.1204  1 Be 2.47, 8 V 2.58-2.72, 2 Ga 2.61
Ga 0.8796 0.2532 0.7333  1 Be 2.47, 8 V 2.58-2.72, 2 Ga 2.61
Ga 0.2532 0.7333 0.8796  1 Be 2.47, 8 V 2.58-2.72, 2 Ga 2.61
Ga 0.1204 0.7468 0.2667  1 Be 2.47, 8 V 2.58-2.72, 2 Ga 2.61
Ga 0.2667 0.1204 0.7468  1 Be 2.47, 8 V 2.58-2.72, 2 Ga 2.61